VASP calculation (PBE) on a geometry-optimized YBeAl2 structure.

a = 9.359 Å, b = 9.359 Å, c = 9.359 Å
α = 18.86°, β = 18.86°, γ = 18.86°
Sites, in units of the cell vectors:
Y 0.750 0.750 0.750
Be 0.250 0.250 0.250
Al 0.515 0.515 0.515
Al 0.985 0.985 0.985

## Properties
Energy relative to the elements ... 0.257 eV/atom
Symmetry ... R-3m
Total magnetization ... 0.000 μB per atom

=====

VASP calculation (PBE) on a geometry-optimized TaAs2Cl structure.

a = 5.043 Å, b = 5.043 Å, c = 2.870 Å
α = 90.00°, β = 90.00°, γ = 90.00°
Sites, in units of the cell vectors:
As 0.000 0.000 0.000
Cl 0.500 0.000 0.500
Ta 0.000 0.500 0.500
As 0.500 0.500 0.000

## Properties
Formation energy (no corrections) ... 0.419 eV per atom
Distance to the lowest polymorph of the same formula ... 0.780 eV/atom
Symmetry ... P4/mmm
Total magnetization ... 0.000 μB per atom

=====

VASP calculation (PBE) on a geometry-optimized AcInGa2Au4 structure.

a = 4.508 Å, b = 4.508 Å, c = 10.370 Å
α = 77.45°, β = 77.45°, γ = 60.00°
Sites, in units of the cell vectors:
In 0.500 0.500 0.500
Au 0.397 0.397 0.809
Au 0.123 0.123 0.630
Ga 0.246 0.246 0.262
Ac 0.000 0.000 0.000
Ga 0.754 0.754 0.738
Au 0.603 0.603 0.191
Au 0.877 0.877 0.370

## Properties
Energy relative to the elements ... -0.433 eV/atom
Symmetry ... R-3m
Total magnetization ... 0.000 μB per atom

=====

VASP calculation (PBE) on a geometry-optimized CuRe3H structure.

a = 3.911 Å, b = 3.911 Å, c = 3.911 Å
α = 90.00°, β = 90.00°, γ = 90.00°
Sites, in units of the cell vectors:
Cu 0.500 0.500 0.500
Re 0.500 0.000 0.000
Re 0.000 0.500 0.000
H 0.000 0.000 0.000
Re 0.000 0.000 0.500

## Properties
Distance to the lowest polymorph of the same formula ... 0.000 eV/atom
Symmetry ... Pm-3m
Total magnetization ... 0.000 μB per atom

=====

VASP calculation (PBE) on a geometry-optimized Ta3Cl structure.

a = 5.568 Å, b = 5.568 Å, c = 5.568 Å
α = 149.82°, β = 120.83°, γ = 67.86°
Sites, in units of the cell vectors:
Ta 0.904 0.193 0.712
Cl 0.018 0.000 0.018
Ta 0.519 0.807 0.712
Ta 0.392 0.500 0.892

## Properties
Formation energy (no corrections) ... 0.440 eV per atom
Distance to the lowest polymorph of the same formula ... 0.351 eV/atom
Symmetry ... Imm2
Total magnetization ... 0.000 μB per atom

=====

VASP calculation (PBE) on a geometry-optimized PdI2Br6 structure.

a = 9.761 Å, b = 11.831 Å, c = 11.831 Å
α = 110.24°, β = 63.53°, γ = 63.53°
Sites, in units of the cell vectors:
Br 0.491 0.709 0.796
Br 0.534 0.911 0.163
Br 0.009 0.204 0.291
Br 0.566 0.698 0.300
I 0.824 0.427 0.275
I 0.676 0.725 0.573
Pd 0.250 0.214 0.786
Br 0.509 0.291 0.204
Br 0.034 0.163 0.911
I 0.324 0.275 0.427
Br 0.966 0.837 0.089
Br 0.466 0.089 0.837
Br 0.434 0.302 0.700
I 0.176 0.573 0.725
Br 0.934 0.700 0.302
Br 0.066 0.300 0.698
Br 0.991 0.796 0.709
Pd 0.750 0.786 0.214

## Properties
Formation energy (no corrections) ... -0.089 eV per atom
Symmetry ... C2/c
Total magnetization ... 0.000 μB per atom

=====

VASP calculation (PBE) on a geometry-optimized NaCeMgCd structure.

a = 5.274 Å, b = 5.274 Å, c = 5.274 Å
α = 60.00°, β = 60.00°, γ = 60.00°
Last column: magnetic moment on the atom in μB.
Sites, in units of the cell vectors:
Na 0.250 0.250 0.250  0.01
Ce 0.500 0.500 0.500  0.91
Mg 0.000 0.000 0.000  -0.01
Cd 0.750 0.750 0.750  -0.01

## Properties
Energy relative to the elements ... 0.028 eV/atom
Symmetry ... F-43m
Total magnetization ... 0.227 μB per atom

=====

VASP calculation (PBE) on a geometry-optimized Mn2CrSe3 structure.

a = 6.559 Å, b = 6.559 Å, c = 6.559 Å
α = 146.42°, β = 131.49°, γ = 60.29°
Last column: magnetic moment on the atom in μB.
Sites, in units of the cell vectors:
Mn 0.333 0.333 0.000  4.19
Cr 0.000 0.000 0.000  3.59
Mn 0.667 0.667 0.000  4.19
Se 0.500 0.000 0.500  0.05
Se 0.837 0.337 0.500  0.03
Se 0.163 0.663 0.500  0.03

## Properties
Formation energy (no corrections) ... -0.338 eV per atom
Symmetry ... Immm
Total magnetization ... 2.186 μB per atom

=====

VASP calculation (PBE) on a geometry-optimized HoIn2Sb structure.

a = 3.516 Å, b = 3.516 Å, c = 11.465 Å
α = 81.18°, β = 81.18°, γ = 60.00°
Sites, in units of the cell vectors:
In 0.907 0.907 0.278
In 0.093 0.093 0.722
Ho 0.000 0.000 0.000
Sb 0.500 0.500 0.500

## Properties
Formation energy (no corrections) ... 0.166 eV per atom
Distance to the lowest polymorph of the same formula ... 0.579 eV/atom
Symmetry ... R-3m
Total magnetization ... 0.000 μB per atom

=====

VASP calculation (PBE) on a geometry-optimized BaSnO3 structure.

a = 3.821 Å, b = 3.821 Å, c = 6.501 Å
α = 90.00°, β = 90.00°, γ = 90.00°
Last column: magnetic moment on the atom in μB.
Sites, in units of the cell vectors:
O 0.000 0.000 0.758  0.21
Sn 0.500 0.500 0.552  -0.01
O 0.500 0.000 0.404  0.02
Ba 0.000 0.000 0.145  0.01
O 0.000 0.500 0.404  0.00

## Properties
Formation energy (no corrections) ... -1.201 eV per atom
Symmetry ... P4mm
Total magnetization ... 0.053 μB per atom

=====

VASP calculation (PBE) on a geometry-optimized In2ReIr structure.

a = 7.568 Å, b = 7.568 Å, c = 6.008 Å
α = 50.96°, β = 50.96°, γ = 90.00°
Last column: magnetic moment on the atom in μB.
Sites, in units of the cell vectors:
Ir 0.750 0.250 0.500  0.07
In 0.111 0.625 0.250  -0.02
In 0.639 0.125 0.250  -0.01
Ir 0.000 0.000 0.000  0.07
Re 0.500 0.500 0.000  1.14
Re 0.250 0.750 0.500  1.14
In 0.875 0.889 0.750  -0.02
In 0.375 0.361 0.750  -0.01

## Properties
Energy relative to the elements ... 0.902 eV/atom
Distance to the lowest polymorph of the same formula ... 0.793 eV/atom
Symmetry ... I-42d
Total magnetization ... 0.334 μB per atom

=====

VASP calculation (PBE) on a geometry-optimized MoAsC3 structure.

a = 4.115 Å, b = 4.115 Å, c = 4.115 Å
α = 90.00°, β = 90.00°, γ = 90.00°
Sites, in units of the cell vectors:
C 0.000 0.000 0.500
As 0.500 0.500 0.500
C 0.000 0.500 0.000
C 0.500 0.000 0.000
Mo 0.000 0.000 0.000

## Properties
Energy relative to the elements ... 2.154 eV/atom
Distance to the lowest polymorph of the same formula ... 0.000 eV/atom
Symmetry ... Pm-3m
Total magnetization ... 0.000 μB per atom